# TlV2F6, relaxed, DFT PBE with a Hubbard U
data_TlV2F6
_cell_length_a 5.666
_cell_length_b 7.912
_cell_length_c 7.912
_cell_angle_alpha 59.09
_cell_angle_beta 94.82
_cell_angle_gamma 94.82
_space_group_name_H-M_alt 'P 1'
_space_group_IT_number 1
_space_group_name_Hall 'P 1'
loop_
_atom_site_label
_atom_site_fract_x
_atom_site_fract_y
_atom_site_fract_z
Tl1 0.250 0.230 0.770
Tl2 0.750 0.770 0.230
V1 0.183 0.678 0.832
V2 0.317 0.168 0.322
V3 0.817 0.322 0.168
V4 0.683 0.832 0.678
F1 0.423 0.635 0.684
F2 0.077 0.316 0.365
F3 0.577 0.365 0.316
F4 0.923 0.684 0.635
F5 0.645 0.024 0.370
F6 0.855 0.630 0.976
F7 0.355 0.976 0.630
F8 0.145 0.370 0.024
F9 0.377 0.731 0.012
F10 0.123 0.988 0.269
F11 0.623 0.269 0.988
F12 0.877 0.012 0.731
# Excess energy over the best structure of this formula in the dataset = 1.25 eV/f.u.
# Raw total energy = -100.72 eV for the cell shown